(1)
First-principles (meta-GGA SCAN) data for a crystal of TeIrW relaxed with PBEsol, as listed in Alexandria via LeMat-Bulk.

Summary:
Calculated volume ... 59.07 Å³ per cell
Polymorph energy (0 for the lowest one) ... 0.0 meV/atom
Total magnetization ... 0.00 μB per formula unit
Raw total energy ... -58.8140 eV/atom
Space-group type ... F-43m (216)
N(E_F) ... 2.67 states/eV per cell

Lattice parameters (Å, degrees): 4.3716 4.3716 4.3716 60.00 60.00 60.00
Element x y z (fractional)
Te1 0.5000 0.5000 0.5000
Ir1 0.0000 0.0000 0.0000
W1 0.2500 0.2500 0.2500

(2)
First-principles (meta-GGA SCAN) data for a crystal of TaIr3Se relaxed with PBEsol, as listed in Alexandria via LeMat-Bulk.

Summary:
Calculated volume ... 105.91 Å³ per cell
Total magnetization ... 0.00 μB per formula unit
Raw total energy ... -58.1315 eV/atom
Space-group type ... Pm-3m (221)
N(E_F) ... 6.75 states/eV per cell

Lattice parameters (Å, degrees): 4.7312 4.7312 4.7312 90.00 90.00 90.00
Element x y z (fractional)
Ir1 0.0000 0.0000 0.5000
Ir2 0.5000 0.0000 0.0000
Ir3 0.0000 0.5000 0.0000
Se1 0.5000 0.5000 0.5000
Ta1 0.0000 0.0000 0.0000

(3)
First-principles (meta-GGA SCAN) data for a crystal of HgTeRu2 relaxed with PBEsol, as listed in Alexandria via LeMat-Bulk.

Summary:
Calculated volume ... 68.83 Å³ per cell
Polymorph energy (0 for the lowest one) ... 0.0 meV/atom
Total magnetization ... 0.00 μB per formula unit
Raw total energy ... -43.3439 eV/atom
Space-group type ... R-3m (166)
N(E_F) ... 3.19 states/eV per cell

Lattice parameters (Å, degrees): 3.1102 3.1102 8.4105 79.34 79.34 60.00
Element x y z (fractional)
Te1 0.5000 0.5000 0.5000
Hg1 0.0000 0.0000 0.0000
Ru1 0.7560 0.7560 0.7321
Ru2 0.2440 0.2440 0.2679

(4)
First-principles (meta-GGA SCAN) data for a crystal of ScTlHg2 relaxed with PBEsol, as listed in Alexandria via LeMat-Bulk.

Summary:
Calculated volume ... 86.70 Å³ per cell
Total magnetization ... 0.00 μB per formula unit
ΔE_f ... -1.2 eV per formula unit
Raw total energy ... -56.0196 eV/atom
Space-group type ... P4/mmm (123)
N(E_F) ... 2.44 states/eV per cell

Lattice parameters (Å, degrees): 4.4227 4.4184 4.4367 90.00 90.00 90.00
Element x y z (fractional)
Hg1 0.5000 0.5000 0.0000
Hg2 0.0000 0.0000 0.0000
Sc1 0.5000 0.0000 0.5000
Tl1 0.0000 0.5000 0.5000

(5)
First-principles (meta-GGA SCAN) data for a crystal of SOF2 relaxed with PBEsol, as listed in Alexandria via LeMat-Bulk.

Summary:
Calculated volume ... 529.27 Å³ per cell
Polymorph energy (0 for the lowest one) ... 0.0 meV/atom
Total magnetization ... 0.00 μB per formula unit
Raw total energy ... -7.3673 eV/atom
Space-group type ... P2_1/c (14)
N(E_F) ... 0.00 states/eV per cell

Lattice parameters (Å, degrees): 5.2238 7.0183 14.5859 90.00 98.21 90.00
Element x y z (fractional)
O1 0.4901 0.2992 0.7495
O2 0.5099 0.7008 0.2505
O3 0.5099 0.7992 0.7505
O4 0.9606 0.9691 0.1693
O5 0.9606 0.5309 0.6693
O6 0.0394 0.4691 0.3307
O7 0.4901 0.2008 0.2495
O8 0.0394 0.0309 0.8307
F1 0.3133 0.6686 0.4398
F2 0.6683 0.5905 0.1111
F3 0.7779 0.0938 0.3850
F4 0.6867 0.1686 0.0602
F5 0.2221 0.5938 0.1150
F6 0.2221 0.9062 0.6150
F7 0.6867 0.3314 0.5602
F8 0.3317 0.4095 0.8889
F9 0.1340 0.3255 0.5592
F10 0.8660 0.8255 0.9408
F11 0.7779 0.4062 0.8850
F12 0.1340 0.1745 0.0592
F13 0.8660 0.6745 0.4408
F14 0.3317 0.0905 0.3889
F15 0.3133 0.8314 0.9398
F16 0.6683 0.9095 0.6111
S1 0.4652 0.7286 0.1521
S2 0.9436 0.1621 0.1367
S3 0.0564 0.6621 0.3633
S4 0.5348 0.2286 0.3479
S5 0.5348 0.2714 0.8479
S6 0.0564 0.8379 0.8633
S7 0.4652 0.7714 0.6521
S8 0.9436 0.3379 0.6367

(6)
First-principles (meta-GGA SCAN) data for a crystal of SiAu relaxed with PBEsol, as listed in Alexandria via LeMat-Bulk.

Summary:
Calculated volume ... 74.55 Å³ per cell
Total magnetization ... 0.00 μB per formula unit
Raw total energy ... -39.6069 eV/atom
Space-group type ... Cmcm (63)
N(E_F) ... 1.43 states/eV per cell

Lattice parameters (Å, degrees): 3.7870 3.9435 5.3672 68.45 90.00 90.00
Element x y z (fractional)
Au1 0.7500 0.2092 0.5816
Au2 0.2500 0.7908 0.4184
Si1 0.2500 0.4303 0.1394
Si2 0.7500 0.5697 0.8606